[1]
The following is a PBE-GGA calculation of an optimized crystal structure of CdH2Pd4, from the Alexandria database.

**Magnetization**: 0.000 μB/atom
**Polymorph energy (0 for the lowest one)**: 0 meV/atom

abc: 5.6198 5.6198 7.4924
angles: 110.60 110.60 53.56
Last column: nearest neighbours and their distance in Å.
Atoms (fractional coordinates):
Cd 0.0000 0.0000 0.0000  12 Pd 2.88-2.95, 2 H 3.07
Cd 0.6963 0.3037 0.5000  2 H 2.56, 4 Pd 2.83-2.86
H 0.1712 0.5960 0.5793  2 Pd 1.77-1.91
H 0.2650 0.2420 0.8677  4 Pd 1.79-1.83
H 0.4040 0.8288 0.4207  2 Pd 1.77-1.91
H 0.7580 0.7350 0.1323  4 Pd 1.79-1.83
Pd 0.0875 0.7224 0.3046  2 H 1.82-2.02
Pd 0.1988 0.2098 0.3987  1 H 1.77
Pd 0.2776 0.9125 0.6954  2 H 1.82-2.02
Pd 0.4053 0.4052 0.7999  2 H 1.79-1.91
Pd 0.4760 0.1264 0.1020  2 H 1.83
Pd 0.5948 0.5947 0.2001  2 H 1.79-1.91
Pd 0.7902 0.8012 0.6013  1 H 1.77
Pd 0.8736 0.5240 0.8980  2 H 1.83

---

[2]
The following is a PBE-GGA calculation of an optimized crystal structure of CdH5Pd4, from the Alexandria database.

**Magnetization**: 0.000 μB/atom
**Polymorph energy (0 for the lowest one)**: 0 meV/atom

abc: 5.4795 8.1389 4.7276
angles: 90.00 90.00 90.00
Last column: nearest neighbours and their distance in Å.
Atoms (fractional coordinates):
Cd 0.2500 0.2500 0.1384  6 Pd 2.71-2.81, 10 H 2.72-2.94
Cd 0.7500 0.7500 0.8616  6 Pd 2.71-2.81, 10 H 2.72-2.94
H 0.0244 0.5563 0.2057  2 Pd 1.76-1.83
H 0.0244 0.9437 0.2057  2 Pd 1.76-1.83
H 0.2500 0.7500 0.6378  4 Pd 1.85-1.92
H 0.4756 0.5563 0.2057  2 Pd 1.76-1.83
H 0.4756 0.9437 0.2057  2 Pd 1.76-1.83
H 0.5244 0.0563 0.7943  2 Pd 1.76-1.83
H 0.5244 0.4437 0.7943  2 Pd 1.76-1.83
H 0.7500 0.2500 0.3622  4 Pd 1.85-1.92
H 0.9756 0.0563 0.7943  2 Pd 1.76-1.83
H 0.9756 0.4437 0.7943  2 Pd 1.76-1.83
Pd 0.0046 0.7500 0.3702  3 H 1.76-1.85
Pd 0.2500 0.5605 0.8804  5 H 1.83-1.97
Pd 0.2500 0.9395 0.8804  5 H 1.83-1.97
Pd 0.4954 0.7500 0.3702  3 H 1.76-1.85
Pd 0.5046 0.2500 0.6298  3 H 1.76-1.85
Pd 0.7500 0.0605 0.1196  5 H 1.83-1.97
Pd 0.7500 0.4395 0.1196  5 H 1.83-1.97
Pd 0.9954 0.2500 0.6298  3 H 1.76-1.85

---

[3]
The following is a PBE-GGA calculation of an optimized crystal structure of CdH2Pd, from the Alexandria database.

**Magnetization**: 0.000 μB/atom
**Polymorph energy (0 for the lowest one)**: 51 meV/atom

abc: 6.7210 6.7210 6.7210
angles: 25.22 25.22 25.22
Last column: nearest neighbours and their distance in Å.
Atoms (fractional coordinates):
Cd 0.0000 0.0000 0.0000  6 Cd 2.93, 6 H 2.95-3.09
H 0.5428 0.5428 0.5428  3 Pd 1.85
H 0.7990 0.7990 0.7990  3 Pd 1.86
Pd 0.1714 0.1714 0.1714  6 H 1.85-1.86

---

[4]
The following is a PBE-GGA calculation of an optimized crystal structure of CdH3Pd5, from the Alexandria database.

**Electronic total energy**: -4.255 eV/atom
**Magnetization**: 0.000 μB/atom

abc: 5.8170 5.8170 8.6363
angles: 119.20 119.20 61.68
Last column: nearest neighbours and their distance in Å.
Atoms (fractional coordinates):
Cd 0.0940 0.0940 0.3217  2 H 2.21-2.37
Cd 0.9060 0.9060 0.6783  2 H 2.21-2.37
H 0.0000 0.0000 0.0000  2 Pd 1.65
H 0.0000 0.0000 0.5000  4 Pd 2.00, 2 Cd 2.21
H 0.3095 0.3095 0.8326  5 Pd 1.93-2.09
H 0.3830 0.3830 0.2649  4 Pd 1.79-1.87
H 0.6170 0.6170 0.7351  4 Pd 1.79-1.87
H 0.6905 0.6905 0.1674  5 Pd 1.93-2.09
Pd 0.0742 0.6033 0.3359  3 H 1.84-2.00
Pd 0.2422 0.2422 0.0020  2 H 1.87-1.93
Pd 0.2759 0.7241 0.0000  1 H 1.65
Pd 0.3967 0.9258 0.6641  3 H 1.84-2.00
Pd 0.4092 0.4092 0.6587  1 H 1.79
Pd 0.5908 0.5908 0.3413  1 H 1.79
Pd 0.6033 0.0742 0.3359  3 H 1.84-2.00
Pd 0.7241 0.2759 0.0000  1 H 1.65
Pd 0.7578 0.7578 0.9980  2 H 1.87-1.93
Pd 0.9258 0.3967 0.6641  3 H 1.84-2.00